No. 1
## Li2PIr (GGA-PBEsol)

Data for crystalline Li2PIr at its relaxed geometry.

E_tot	-4.982	eV/atom
theoretical density	6.80	Mg/m³
DFT formation energy	-0.09	eV per atom

a = 4.4296 Å, b = 5.5710 Å, c = 5.5710 Å
α = 80.91°, β = 66.57°, γ = 66.57°
Closest atoms and distances in Å follow each position.
Fractional coordinates of all 8 atoms:
Li 0.3750 0.0269 0.4731  2 Li 2.25, 2 P 2.48
Li 0.5981 0.5269 0.0269  2 Li 2.25, 2 P 2.48
Li 0.1519 0.4731 0.9731  2 Li 2.25, 2 P 2.48
Li 0.8750 0.9731 0.5269  2 Li 2.25, 2 P 2.48
P 0.5000 0.0000 0.0000  2 Ir 2.21
P 0.2500 0.5000 0.5000  2 Ir 2.21
Ir 0.0000 0.0000 0.0000  2 P 2.21
Ir 0.7500 0.5000 0.5000  2 P 2.21



No. 2
## LiTm2Ir (GGA-PBEsol)

Data for crystalline LiTm2Ir at its relaxed geometry.

E_tot	-6.019	eV/atom
theoretical density	11.56	Mg/m³
DFT formation energy	-0.62	eV per atom

a = 4.7789 Å, b = 4.7789 Å, c = 4.7789 Å
α = 60.00°, β = 60.00°, γ = 60.00°
Closest atoms and distances in Å follow each position.
Fractional coordinates of all 4 atoms:
Tm 0.7500 0.7500 0.7500  4 Ir 2.93, 4 Li 2.93
Tm 0.2500 0.2500 0.2500  4 Li 2.93, 4 Ir 2.93
Li 0.0000 0.0000 0.0000  8 Tm 2.93
Ir 0.5000 0.5000 0.5000  8 Tm 2.93



No. 3
## FeMoW2 (GGA-PBEsol)

Data for crystalline FeMoW2 at its relaxed geometry.

E_tot	-11.994	eV/atom
theoretical density	14.91	Mg/m³
DFT formation energy	0.09	eV per atom
offset from the most stable computed form	0	meV/atom

a = 2.6736 Å, b = 2.6736 Å, c = 8.5250 Å
α = 90.00°, β = 90.00°, γ = 108.34°
Closest atoms and distances in Å follow each position.
Fractional coordinates of all 4 atoms:
W 0.0000 0.0000 0.2632  2 Fe 2.55, 4 W 2.67, 2 Mo 2.74
W 0.0000 0.0000 0.7368  2 Fe 2.55, 4 W 2.67, 2 Mo 2.74
Fe 0.5000 0.5000 0.5000  4 W 2.55, 4 Fe 2.67
Mo 0.5000 0.5000 0.0000  4 Mo 2.67, 4 W 2.74



No. 4
## Be2SN (GGA-PBEsol)

Data for crystalline Be2SN at its relaxed geometry.

E_tot	-4.492	eV/atom
formation energy (no corrections)	71.0	kJ/mol of atoms
theoretical density	2.82	Mg/m³
offset from the most stable computed form	1379	meV/atom

a = 3.7641 Å, b = 3.7641 Å, c = 3.7641 Å
α = 60.00°, β = 60.00°, γ = 60.00°
Closest atoms and distances in Å follow each position.
Fractional coordinates of all 4 atoms:
N 0.0000 0.0000 0.0000  8 Be 2.31
Be 0.7500 0.7500 0.7500  4 S 2.31, 4 N 2.31
Be 0.2500 0.2500 0.2500  4 S 2.31, 4 N 2.31
S 0.5000 0.5000 0.5000  8 Be 2.31



No. 5
## LiAlSiH2O5 (GGA-PBEsol)

Data for crystalline LiAlSiH2O5 at its relaxed geometry.

E_tot	-6.652	eV/atom
theoretical density	2.08	Mg/m³

a = 5.0066 Å, b = 8.1379 Å, c = 11.2633 Å
α = 90.00°, β = 90.00°, γ = 90.00°
Closest atoms and distances in Å follow each position.
Fractional coordinates of all 40 atoms:
O 0.0963 0.9315 0.1469  1 Si 1.61, 1 Al 1.75
O 0.1592 0.2481 0.9860  1 H 0.99
O 0.6827 0.7692 0.7597  1 Si 1.62, 1 Al 1.77
O 0.1592 0.2519 0.4860  1 H 0.99
O 0.5950 0.4496 0.6593  1 Si 1.63, 1 Al 1.76
O 0.5950 0.0504 0.1593  1 Si 1.63, 1 Al 1.76
O 0.8386 0.4672 0.1413  1 H 0.98
O 0.8386 0.0328 0.6413  1 H 0.98
O 0.3386 0.5328 0.8587  1 H 0.98
O 0.3386 0.9672 0.3587  1 H 0.98
O 0.5963 0.4315 0.3531  1 Si 1.61, 1 Al 1.75
O 0.1827 0.2308 0.2403  1 Si 1.62, 1 Al 1.77
O 0.0963 0.5685 0.6469  1 Si 1.61, 1 Al 1.75
O 0.6592 0.7519 0.0140  1 H 0.99
O 0.1827 0.2692 0.7403  1 Si 1.62, 1 Al 1.77
O 0.5963 0.0685 0.8531  1 Si 1.61, 1 Al 1.75
O 0.6592 0.7481 0.5140  1 H 0.99
O 0.0950 0.5504 0.3407  1 Si 1.63, 1 Al 1.76
O 0.6827 0.7308 0.2597  1 Si 1.62, 1 Al 1.77
O 0.0950 0.9496 0.8407  1 Si 1.63, 1 Al 1.76
Si 0.2997 0.4527 0.7193  4 O 1.61-1.71
Si 0.7997 0.9527 0.7807  4 O 1.61-1.71
Si 0.2997 0.0473 0.2193  4 O 1.61-1.71
Si 0.7997 0.5473 0.2807  4 O 1.61-1.71
H 0.1935 0.3632 0.9632  1 O 0.99
H 0.6935 0.6368 0.0368  1 O 0.99
H 0.1935 0.1368 0.4632  1 O 0.99
H 0.0286 0.0348 0.6207  1 O 0.98
H 0.0286 0.4652 0.1207  1 O 0.98
H 0.5286 0.5348 0.8793  1 O 0.98
H 0.5286 0.9652 0.3793  1 O 0.98
H 0.6935 0.8632 0.5368  1 O 0.99
Li 0.3810 0.7175 0.3865  4 O 2.02-2.08, 1 H 2.15
Li 0.8810 0.2825 0.6135  4 O 2.02-2.08, 1 H 2.15
Li 0.8810 0.2175 0.1135  4 O 2.02-2.08, 1 H 2.15
Li 0.3810 0.7825 0.8865  4 O 2.02-2.08, 1 H 2.15
Al 0.2660 0.1372 0.8601  4 O 1.75-1.77
Al 0.7660 0.8628 0.1399  4 O 1.75-1.77
Al 0.2660 0.3628 0.3601  4 O 1.75-1.77
Al 0.7660 0.6372 0.6399  4 O 1.75-1.77



No. 6
## Sb2SIN (GGA-PBEsol)

Data for crystalline Sb2SIN at its relaxed geometry.

E_tot	-3.953	eV/atom
formation energy (no corrections)	77.7	kJ/mol of atoms
theoretical density	6.45	Mg/m³

a = 4.5782 Å, b = 4.8395 Å, c = 4.8395 Å
α = 90.00°, β = 90.00°, γ = 90.00°
Closest atoms and distances in Å follow each position.
Fractional coordinates of all 5 atoms:
N 0.0000 0.0000 0.0000  2 I 2.29, 4 Sb 2.42
S 0.5000 0.5000 0.5000  8 Sb 3.33, 4 I 3.42
Sb 0.0000 0.5000 0.0000  2 N 2.42
Sb 0.0000 0.0000 0.5000  2 N 2.42
I 0.5000 0.0000 0.0000  2 N 2.29